An optimized crystal structure of Pm2Nd2ZnGa4, computed with PBE.

CIF file:
```
data_Pm2Nd2ZnGa4
_chemical_formula_sum 'Pm4 Nd4 Zn2 Ga8'
_cell_length_a 7.104
_cell_length_b 7.104
_cell_length_c 8.888
_cell_angle_alpha 90.00
_cell_angle_beta 90.00
_cell_angle_gamma 90.00
_space_group_name_H-M_alt 'I 4/m m m'
_space_group_IT_number 139
_space_group_name_Hall '-I 4 2'
loop_
_atom_site_label
_atom_site_fract_x
_atom_site_fract_y
_atom_site_fract_z
Pm1 0.000 0.000 0.186
Nd1 0.000 0.500 0.250
Zn1 0.000 0.000 0.500
Ga1 0.241 0.241 0.500
```

E_tot = -3.924 eV/atom
total magnetic moment = 0.00 μB per atom
DFT formation energy = -2.90 eV/f.u.

=====

An optimized crystal structure of NaAuSe2, computed with PBE.

CIF file:
```
data_NaAuSe2
_chemical_formula_sum 'Na4 Au4 Se8'
_cell_length_a 5.788
_cell_length_b 5.788
_cell_length_c 14.203
_cell_angle_alpha 90.00
_cell_angle_beta 90.00
_cell_angle_gamma 90.00
_space_group_name_H-M_alt 'I -4 2 d'
_space_group_IT_number 122
_space_group_name_Hall 'I -4 2bw'
loop_
_atom_site_label
_atom_site_fract_x
_atom_site_fract_y
_atom_site_fract_z
Na1 0.000 0.000 0.000
Au1 0.000 0.000 0.500
Se1 0.185 0.250 0.625
```

E_tot = -3.100 eV/atom
total magnetic moment = 0.00 μB per atom

=====

An optimized crystal structure of KTl2InNi, computed with PBE.

CIF file:
```
data_KTl2InNi
_chemical_formula_sum 'K1 Tl2 In1 Ni1'
_cell_length_a 5.257
_cell_length_b 5.257
_cell_length_c 5.125
_cell_angle_alpha 90.00
_cell_angle_beta 90.00
_cell_angle_gamma 90.00
_space_group_name_H-M_alt 'P 4/m m m'
_space_group_IT_number 123
_space_group_name_Hall '-P 4 2'
loop_
_atom_site_label
_atom_site_fract_x
_atom_site_fract_y
_atom_site_fract_z
K1 0.000 0.000 0.000
Tl1 0.000 0.500 0.500
In1 0.500 0.500 0.000
Ni1 0.500 0.500 0.500
```

E_tot = -2.882 eV/atom
total magnetic moment = 0.00 μB per atom
DFT formation energy = -0.06 eV/f.u.